IrRh: optimized geometry, GGA-PBE.

## Properties
The crystal system is cubic. As for the total energy: -6.8277 eV/atom. Its formation energy is 1279 meV/atom. Its space group is No. 223. The magnetic moment comes out at 0.0001 μB per atom. As for the density: 9263 kg/m3.

abc: 6.8217 6.8217 6.8217
angles: 90.00 90.00 90.00
With the nearest neighbours (Å) after each atom.
Element x y z (fractional)
Ir: 0.2500 0.5000 0.0000  4 Rh 2.41
Ir: 0.7500 0.5000 0.0000  4 Rh 2.41
Ir: 0.5000 0.0000 0.2500  4 Rh 2.41
Ir: 0.5000 0.0000 0.7500  4 Rh 2.41
Ir: 0.0000 0.2500 0.5000  4 Rh 2.41
Ir: 0.0000 0.7500 0.5000  4 Rh 2.41
Rh: 0.2500 0.0000 0.5000  4 Ir 2.41
Rh: 0.7500 0.0000 0.5000  4 Ir 2.41
Rh: 0.0000 0.5000 0.2500  4 Ir 2.41
Rh: 0.0000 0.5000 0.7500  4 Ir 2.41
Rh: 0.5000 0.2500 0.0000  4 Ir 2.41
Rh: 0.5000 0.7500 0.0000  4 Ir 2.41